Entry 1:
DFT (PBE-GGA) results for crystalline TlSiAs2 at its relaxed geometry.

Summary:
Its polymorph energy (0 for the lowest one) is 0.493 eV/atom. The calculation puts the total magnetization at 0.00 Bohr magnetons per cell. As for the formation energy without anion corrections: 0.55 eV/atom. The symmetry is No. 139. Its crystal system is tetragonal.

Cell: 5.5331 5.5331 5.5331 Å, 133.90 133.90 67.24°
Fractional coordinates of all 4 atoms:
Tl (0.0000, 0.0000, 0.0000)
Si (0.5000, 0.5000, 0.0000)
As (0.2500, 0.7500, 0.5000)
As (0.7500, 0.2500, 0.5000)


Entry 2:
DFT (PBE-GGA) results for crystalline Tl2SiAs at its relaxed geometry.

Summary:
Its polymorph energy (0 for the lowest one) is 0.328 eV/atom. The calculation puts the total magnetization at 0.00 Bohr magnetons per cell. As for the formation energy without anion corrections: 0.46 eV/atom. The symmetry is No. 123. Its crystal system is tetragonal.

Cell: 4.3529 4.3529 5.2313 Å, 90.00 90.00 90.00°
Fractional coordinates of all 4 atoms:
Tl (0.0000, 0.5000, 0.0000)
Tl (0.5000, 0.0000, 0.0000)
Si (0.0000, 0.0000, 0.5000)
As (0.5000, 0.5000, 0.5000)